1.
# NpZnTeO6, relaxed, DFT PBE
# Calculated density, g/cm³: 7.17
# Calculated volume, A^3/atom: 13.53
# Formation energy (no corrections), meV per atom: -1698.5
data_NpZnTeO6
_chemical_formula_sum 'Np2 Zn2 Te2 O12'
_cell_length_a 5.5978
_cell_length_b 5.5978
_cell_length_c 8.9723
_cell_angle_alpha 90.00
_cell_angle_beta 90.00
_cell_angle_gamma 120.00
_space_group_name_H-M_alt 'P -3 1 c'
_space_group_IT_number 163
_space_group_name_Hall '-P 3 2c'
loop_
_atom_site_label
_atom_site_type_symbol
_atom_site_fract_x
_atom_site_fract_y
_atom_site_fract_z
_atom_site_occupancy
Np1 Np 0.3333 0.6667 0.2500 1
Zn1 Zn 0.0000 0.0000 0.0000 1
Te1 Te 0.3333 0.6667 0.7500 1
O1 O 0.0132 0.3468 0.1302 1

***

2.
# Pa2Mn3Ir, relaxed, DFT PBE
# E_form, eV/f.u.: -1.94
# Calculated density, g/cm³: 13.73
# Calculated volume, A^3/atom: 16.51
data_Pa2Mn3Ir
_chemical_formula_sum 'Pa6 Mn9 Ir3'
_cell_length_a 5.1561
_cell_length_b 5.1561
_cell_length_c 12.9103
_cell_angle_alpha 90.00
_cell_angle_beta 90.00
_cell_angle_gamma 120.00
_space_group_name_H-M_alt 'R -3 m'
_space_group_IT_number 166
_space_group_name_Hall '-R 3 2"'
loop_
_atom_site_label
_atom_site_type_symbol
_atom_site_fract_x
_atom_site_fract_y
_atom_site_fract_z
_atom_site_occupancy
Pa1 Pa 0.0000 0.0000 0.1236 1
Mn1 Mn 0.0000 0.5000 0.0000 1
Ir1 Ir 0.0000 0.0000 0.5000 1

***

3.
# Zn2FeTe, relaxed, DFT PBE
# Calculated density, g/cm³: 7.43
# Calculated volume, A^3/atom: 17.56
# Formation energy (no corrections), meV per atom: 440.5
data_Zn2FeTe
_chemical_formula_sum 'Zn8 Fe4 Te4'
_cell_length_a 6.550
_cell_length_b 6.550
_cell_length_c 6.550
_cell_angle_alpha 90.00
_cell_angle_beta 90.00
_cell_angle_gamma 90.00
_space_group_name_H-M_alt 'F -4 3 m'
_space_group_IT_number 216
_space_group_name_Hall 'F -4 2 3'
loop_
_atom_site_label
_atom_site_type_symbol
_atom_site_fract_x
_atom_site_fract_y
_atom_site_fract_z
_atom_site_occupancy
Zn1 Zn 0.000 0.000 0.000 1
Zn2 Zn 0.250 0.250 0.250 1
Fe1 Fe 0.250 0.250 0.750 1
Te1 Te 0.000 0.000 0.500 1

***

4.
# Li2UPt6, relaxed, DFT PBE
# E_form, eV/f.u.: -3.74
# Calculated density, g/cm³: 16.16
# Calculated volume, A^3/atom: 16.24
data_Li2UPt6
_chemical_formula_sum 'Li4 U2 Pt12'
_cell_length_a 4.051
_cell_length_b 10.848
_cell_length_c 6.652
_cell_angle_alpha 90.00
_cell_angle_beta 90.00
_cell_angle_gamma 90.00
_space_group_name_H-M_alt 'A m m 2'
_space_group_IT_number 38
loop_
_space_group_symop_operation_xyz
'x,y,z'
'-x,-y,z'
'-x,y,z'
'x,-y,z'
'x,y+1/2,z+1/2'
'-x,-y+1/2,z+1/2'
'-x,y+1/2,z+1/2'
'x,-y+1/2,z+1/2'
loop_
_atom_site_label
_atom_site_type_symbol
_atom_site_fract_x
_atom_site_fract_y
_atom_site_fract_z
_atom_site_occupancy
Li1 Li 0.000 0.125 0.000 1
U1 U 0.500 0.000 0.329 1
Pt1 Pt 0.000 0.000 0.648 1
Pt2 Pt 0.000 0.176 0.364 1
Pt3 Pt 0.500 0.000 0.937 1
Pt4 Pt 0.500 0.193 0.667 1

***

5.
# Pr2TmMg, relaxed, DFT PBE
# E_form, eV/f.u.: 0.02
# Polymorph energy (0 for the lowest one), eV/f.u.: 0.13
# Calculated density, g/cm³: 6.29
# Calculated volume, A^3/atom: 31.35
data_Pr2TmMg
_chemical_formula_sum 'Pr8 Tm4 Mg4'
_cell_length_a 7.945
_cell_length_b 7.945
_cell_length_c 7.945
_cell_angle_alpha 90.00
_cell_angle_beta 90.00
_cell_angle_gamma 90.00
_space_group_name_H-M_alt 'F m -3 m'
_space_group_IT_number 225
_space_group_name_Hall '-F 4 2 3'
loop_
_atom_site_label
_atom_site_type_symbol
_atom_site_fract_x
_atom_site_fract_y
_atom_site_fract_z
_atom_site_occupancy
Pr1 Pr 0.250 0.250 0.250 1
Tm1 Tm 0.000 0.000 0.000 1
Mg1 Mg 0.000 0.000 0.500 1

***

6.
# SnGeS, relaxed, DFT PBE
# Polymorph energy (0 for the lowest one), eV/f.u.: 0.15
# Calculated density, g/cm³: 4.81
# Calculated volume, A^3/atom: 25.71
# Formation energy (no corrections), meV per atom: -79.5
data_SnGeS
_chemical_formula_sum 'Sn4 Ge4 S4'
_cell_length_a 11.301
_cell_length_b 3.356
_cell_length_c 9.207
_cell_angle_alpha 90.00
_cell_angle_beta 117.94
_cell_angle_gamma 90.00
_space_group_name_H-M_alt 'C 1 2/m 1'
_space_group_IT_number 12
loop_
_space_group_symop_operation_xyz
'x,y,z'
'-x,-y,-z'
'-x,y,-z'
'x,-y,z'
'x+1/2,y+1/2,z'
'-x+1/2,-y+1/2,-z'
'-x+1/2,y+1/2,-z'
'x+1/2,-y+1/2,z'
loop_
_atom_site_label
_atom_site_type_symbol
_atom_site_fract_x
_atom_site_fract_y
_atom_site_fract_z
_atom_site_occupancy
Sn1 Sn 0.072 0.000 0.189 1
Ge1 Ge 0.135 0.500 0.587 1
S1 S 0.147 0.000 0.776 1